Record 1
14
Lattice="-3.230 3.441 4.701 3.230 -3.441 4.701 3.230 3.441 -4.701" Properties=species:S:1:pos:R:3 comment="KTmAsO4 PBE optimized geometry" dft_energy_ev_per_atom=-6.21 raw_formation_energy_mev_per_atom=-1918.8 space_group="No. 74" density_g_cm3=5.51 pbc="T T T"
K -1.615 1.721 2.350
K 1.615 1.721 2.350
Tm 0.000 0.000 0.000
Tm 0.000 3.441 0.000
As 3.230 1.721 -1.305
As 0.000 1.721 6.006
O 3.230 3.129 -2.378
O 3.230 -0.313 2.378
O 1.472 1.721 -0.177
O 1.759 -1.721 4.523
O 1.472 5.162 0.177
O 1.759 1.721 4.878
O 0.000 3.754 2.323
O 0.000 0.313 7.079



Record 2
6
Lattice="0.000 3.688 3.688 3.688 0.000 3.688 3.688 3.688 0.000" Properties=species:S:1:pos:R:3 comment="Al4CuP PBE optimized geometry" dft_energy_ev_per_atom=-3.68 space_group="No. 216" density_g_cm3=3.35 formation_enthalpy_0k_ev_per_atom=0.398 pbc="T T T"
Al 0.926 0.926 0.926
Al 2.763 2.763 0.926
Al 2.763 0.926 2.763
Al 0.926 2.763 2.763
Cu 3.688 3.688 3.688
P 5.532 5.532 5.532



Record 3
10
Lattice="5.678 0.000 0.000 0.000 3.850 0.000 -1.629 0.000 6.311" Properties=species:S:1:pos:R:3 comment="PaZnN2O PBE optimized geometry" dft_energy_ev_per_atom=-7.65 raw_formation_energy_mev_per_atom=-1172.4 space_group="No. 11" density_g_cm3=8.19 pbc="T T T"
Pa -0.172 0.963 1.544
Pa 4.221 2.888 4.767
Zn 1.709 0.963 4.357
Zn 2.340 2.888 1.954
N 0.869 2.888 0.527
N 1.970 0.963 2.295
N 2.079 2.888 4.016
N 3.180 0.963 5.784
O -0.401 0.963 4.057
O 4.450 2.888 2.254



Record 4
12
Lattice="3.105 -5.384 0.000 3.105 5.384 0.000 -2.096 0.000 11.695" Properties=species:S:1:pos:R:3 comment="La2Sm6Er3Mg PBE optimized geometry" dft_energy_ev_per_atom=-4.44 space_group="No. 12" density_g_cm3=7.25 formation_enthalpy_0k_ev_per_atom=0.014 pbc="T T T"
La 3.105 3.586 0.000
La 3.105 -3.586 0.000
Sm -0.003 1.776 8.716
Sm 1.040 0.000 2.989
Sm -0.003 -1.776 8.716
Sm 4.117 1.776 2.979
Sm 3.074 0.000 8.706
Sm 4.117 -1.776 2.979
Er -1.048 0.000 5.847
Er 2.057 1.787 5.847
Er 2.057 -1.787 5.847
Mg 3.105 0.000 0.000



Record 5
8
Lattice="-3.526 3.526 3.157 3.526 -3.526 3.157 3.526 3.526 -3.157" Properties=species:S:1:pos:R:3 comment="FeCoPb2 PBE optimized geometry" dft_energy_ev_per_atom=-4.74 space_group="No. 122" density_g_cm3=11.19 formation_enthalpy_0k_ev_per_atom=1.010 pbc="T T T"
Fe 0.000 0.000 0.000
Fe 0.000 3.526 1.579
Co 3.526 0.000 1.579
Co 0.000 0.000 3.157
Pb 1.763 -1.733 2.368
Pb 1.793 1.763 0.789
Pb 1.763 5.259 -0.789
Pb 1.733 1.763 3.946



Record 6
4
Lattice="1.343 0.775 8.430 -1.343 0.775 8.430 0.000 -1.551 8.430" Properties=species:S:1:pos:R:3 comment="Fe2TcRu PBE optimized geometry" dft_energy_ev_per_atom=-8.99 space_group="No. 160" density_g_cm3=9.80 formation_enthalpy_0k_ev_per_atom=0.150 de_polymorph_mev_per_atom=55 pbc="T T T"
Fe 0.000 0.000 0.000
Fe 0.000 0.000 6.473
Tc 0.000 0.000 18.984
Ru 0.000 0.000 12.768



Record 7
5
Lattice="5.602 0.000 0.000 0.000 5.602 0.000 0.000 0.000 5.602" Properties=species:S:1:pos:R:3 comment="BaTe3Se PBE optimized geometry" dft_energy_ev_per_atom=-3.49 raw_formation_energy_mev_per_atom=-524.2 space_group="No. 221" density_g_cm3=5.66 de_polymorph_mev_per_atom=0 pbc="T T T"
Ba 0.000 0.000 0.000
Te 0.000 2.801 2.801
Te 2.801 0.000 2.801
Te 2.801 2.801 0.000
Se 2.801 2.801 2.801



Record 8
4
Lattice="0.000 3.498 3.498 3.498 0.000 3.498 3.498 3.498 0.000" Properties=species:S:1:pos:R:3 comment="TbTmTcAg PBE optimized geometry" dft_energy_ev_per_atom=-5.72 space_group="No. 216" density_g_cm3=10.35 formation_enthalpy_0k_ev_per_atom=-0.139 pbc="T T T"
Tb 0.000 0.000 0.000
Tm 3.498 3.498 3.498
Tc 5.247 5.247 5.247
Ag 1.749 1.749 1.749



Record 9
4
Lattice="3.035 0.000 0.000 0.000 3.018 0.000 -0.046 0.000 6.870" Properties=species:S:1:pos:R:3 comment="Cu2PtCl PBE optimized geometry" dft_energy_ev_per_atom=-4.06 raw_formation_energy_mev_per_atom=-43.2 space_group="No. 10" density_g_cm3=9.44 de_polymorph_mev_per_atom=0 pbc="T T T"
Cu 0.005 0.000 1.544
Cu 2.984 0.000 5.326
Pt 1.518 1.509 0.000
Cl -0.023 1.509 3.435



Record 10
4
Lattice="1.652 0.954 12.172 -1.652 0.954 12.172 0.000 -1.907 12.172" Properties=species:S:1:pos:R:3 comment="Pm2PaIn PBE optimized geometry" dft_energy_ev_per_atom=-5.26 space_group="No. 166" density_g_cm3=9.18 formation_enthalpy_0k_ev_per_atom=0.177 de_polymorph_mev_per_atom=241 pbc="T T T"
Pm 0.000 0.000 3.279
Pm 0.000 0.000 33.236
Pa 0.000 0.000 0.000
In 0.000 0.000 18.258



Record 11
8
Lattice="-2.002 2.002 9.826 2.002 -2.002 9.826 2.002 2.002 -9.826" Properties=species:S:1:pos:R:3 comment="CdTcAu2 PBE optimized geometry" dft_energy_ev_per_atom=-3.84 space_group="No. 122" density_g_cm3=12.75 formation_enthalpy_0k_ev_per_atom=0.614 pbc="T T T"
Cd 0.000 0.000 0.000
Cd 0.000 2.002 4.913
Tc 2.002 0.000 4.913
Tc 0.000 0.000 9.826
Au 1.001 -0.988 7.370
Au 1.013 1.001 2.457
Au 1.001 2.990 -2.457
Au 0.988 1.001 12.283



Record 12
5
Lattice="4.979 0.000 0.000 0.000 4.979 0.000 0.000 0.000 5.058" Properties=species:S:1:pos:R:3 comment="Zr2ScTcS PBE optimized geometry" dft_energy_ev_per_atom=-7.24 raw_formation_energy_mev_per_atom=339.5 space_group="No. 123" density_g_cm3=4.73 pbc="T T T"
Zr 0.000 2.489 0.000
Zr 2.489 0.000 0.000
Sc 0.000 0.000 2.529
Tc 0.000 0.000 0.000
S 2.489 2.489 2.529



Record 13
4
Lattice="-2.096 2.096 4.814 2.096 -2.096 4.814 2.096 2.096 -4.814" Properties=species:S:1:pos:R:3 comment="Li2LaMn PBE optimized geometry" dft_energy_ev_per_atom=-4.20 space_group="No. 139" density_g_cm3=4.08 formation_enthalpy_0k_ev_per_atom=0.281 de_polymorph_mev_per_atom=40 pbc="T T T"
Li 2.096 0.000 2.407
Li 0.000 2.096 2.407
La 0.000 0.000 0.000
Mn 0.000 0.000 4.814



Record 14
8
Lattice="-2.157 2.157 12.749 2.157 -2.157 12.749 2.157 2.157 -12.749" Properties=species:S:1:pos:R:3 comment="Sn2PbCl PBE optimized geometry" dft_energy_ev_per_atom=-3.57 raw_formation_energy_mev_per_atom=-182.4 space_group="No. 122" density_g_cm3=6.72 de_polymorph_mev_per_atom=0 pbc="T T T"
Sn 3.236 1.050 -3.187
Sn 1.050 1.079 3.187
Sn -1.079 1.107 9.562
Sn 1.107 1.079 15.936
Pb 0.000 0.000 0.000
Pb 0.000 2.157 6.374
Cl 2.157 0.000 6.374
Cl 0.000 0.000 12.749



Record 15
18
Lattice="2.856 -10.133 0.000 2.856 10.133 0.000 0.000 0.000 10.737" Properties=species:S:1:pos:R:3 comment="LaPm5NdEr2 PBE optimized geometry" dft_energy_ev_per_atom=-4.58 space_group="No. 36" density_g_cm3=7.17 formation_enthalpy_0k_ev_per_atom=0.150 pbc="T T T"
La 2.856 8.457 5.369
La 2.856 -8.457 0.000
Pm 2.856 9.679 8.496
Pm 2.856 7.897 0.844
Pm 2.856 5.994 8.131
Pm 2.856 5.704 3.899
Pm 2.856 0.340 0.840
Pm 2.856 -0.340 6.209
Pm 2.856 -5.704 9.268
Pm 2.856 -5.994 2.762
Pm 2.856 -7.897 6.212
Pm 2.856 -9.679 3.127
Nd 2.856 4.085 0.673
Nd 2.856 -4.085 6.042
Er 2.856 2.353 4.024
Er 2.856 2.264 8.437
Er 2.856 -2.264 3.068
Er 2.856 -2.353 9.393



Record 16
10
Lattice="4.416 0.000 0.000 0.000 4.416 0.000 0.000 0.000 10.557" Properties=species:S:1:pos:R:3 comment="Ac2Si3HgPd4 PBE optimized geometry" dft_energy_ev_per_atom=-5.30 raw_formation_energy_mev_per_atom=-743.5 space_group="No. 115" density_g_cm3=9.39 pbc="T T T"
Ac 0.000 2.208 2.612
Ac 2.208 0.000 7.945
Si 0.000 2.208 9.342
Si 2.208 0.000 1.215
Si 2.208 2.208 5.278
Hg 0.000 0.000 5.278
Pd 0.000 0.000 0.000
Pd 0.000 2.208 6.912
Pd 2.208 0.000 3.645
Pd 2.208 2.208 0.000



Record 17
16
Lattice="3.995 2.306 6.615 -3.995 2.306 6.615 0.000 -4.613 6.615" Properties=species:S:1:pos:R:3 comment="Ca4HfPa3P8 PBE optimized geometry" dft_energy_ev_per_atom=-6.86 space_group="No. 166" density_g_cm3=5.81 formation_enthalpy_0k_ev_per_atom=-1.251 pbc="T T T"
Ca 0.000 0.000 0.000
Ca -1.997 -1.153 6.615
Ca -1.997 1.153 13.230
Ca 0.000 2.306 6.615
Hf 0.000 0.000 9.923
Pa -3.995 0.000 9.923
Pa -1.997 1.153 3.307
Pa 1.997 1.153 3.308
P 0.000 0.000 4.854
P -1.952 -1.127 11.422
P 0.000 -2.254 8.423
P -1.952 1.127 8.423
P 1.952 -1.127 11.422
P 0.000 2.254 11.422
P 1.952 1.127 8.423
P 0.000 0.000 14.991



Record 18
4
Lattice="0.000 3.562 3.562 3.562 0.000 3.562 3.562 3.562 0.000" Properties=species:S:1:pos:R:3 comment="Dy2MnGa PBE optimized geometry" dft_energy_ev_per_atom=-5.51 space_group="No. 225" density_g_cm3=8.26 formation_enthalpy_0k_ev_per_atom=-0.163 de_polymorph_mev_per_atom=31 pbc="T T T"
Dy 1.781 1.781 1.781
Dy 5.342 5.342 5.342
Mn 0.000 0.000 0.000
Ga 3.562 3.562 3.562



Record 19
8
Lattice="2.940 1.698 6.248 -2.940 1.698 6.248 0.000 -3.395 6.248" Properties=species:S:1:pos:R:3 comment="FeCl3 PBE optimized geometry" dft_energy_ev_per_atom=-4.11 raw_formation_energy_mev_per_atom=-608.0 space_group="No. 148" density_g_cm3=2.88 pbc="T T T"
Fe 0.000 0.000 3.123
Fe 0.000 0.000 15.620
Cl -2.155 -0.001 8.092
Cl -1.077 -1.867 10.651
Cl 1.078 -1.866 8.092
Cl -1.078 1.866 10.651
Cl 1.077 1.867 8.092
Cl 2.155 0.001 10.651



Record 20
5
Lattice="1.690 0.976 17.741 -1.690 0.976 17.741 0.000 -1.952 17.741" Properties=species:S:1:pos:R:3 comment="K3Zr2 PBE optimized geometry" dft_energy_ev_per_atom=-3.22 space_group="No. 166" density_g_cm3=2.84 formation_enthalpy_0k_ev_per_atom=0.855 pbc="T T T"
K 0.000 0.000 0.000
K 0.000 0.000 10.967
K 0.000 0.000 42.257
Zr 0.000 0.000 21.162
Zr 0.000 0.000 32.062